! PBE-GGA RbBaPt2, relaxed; values from VASP
&SYSTEM
  ibrav = 0, nat = 4, ntyp = 3
/
ATOMIC_SPECIES
Rb 85.47 Rb.upf
Ba 137.33 Ba.upf
Pt 195.08 Pt.upf
CELL_PARAMETERS angstrom
0.000 3.879 3.879
3.879 0.000 3.879
3.879 3.879 0.000
ATOMIC_POSITIONS angstrom
Rb 0.000 0.000 0.000
Ba 3.879 3.879 3.879
Pt 1.940 1.940 1.940
Pt 5.819 5.819 5.819
! Electronic total energy in eV per atom: -3.737
! V in Å³ per cell: 116.75
! Symmetry: Fm-3m